# BaTlTe2 (PBEsol, relaxed)
# M_tot	0.00	μB/atom
# ΔE_f (raw)	-0.83	eV/atom
data_BaTlTe2
_symmetry_space_group_name_H-M 'F m -3 m'
_symmetry_Int_Tables_number 225
_symmetry_space_group_name_Hall '-F 4 2 3'
_cell_length_a 8.138
_cell_length_b 8.138
_cell_length_c 8.138
_cell_angle_alpha 90.00
_cell_angle_beta 90.00
_cell_angle_gamma 90.00
loop_
_atom_site_label
_atom_site_type_symbol
_atom_site_fract_x
_atom_site_fract_y
_atom_site_fract_z
_atom_site_occupancy
Ba1 Ba 0.000 0.000 0.000 1
Tl1 Tl 0.000 0.000 0.500 1
Te1 Te 0.250 0.250 0.250 1


# BaUTe6 (PBEsol, relaxed)
# M_tot	0.25	μB/atom
# ΔE_f (raw)	-0.68	eV/atom
data_BaUTe6
_symmetry_space_group_name_H-M 'P 1 21/c 1'
_symmetry_Int_Tables_number 14
_symmetry_space_group_name_Hall '-P 2ybc'
_cell_length_a 8.830
_cell_length_b 14.983
_cell_length_c 7.906
_cell_angle_alpha 90.00
_cell_angle_beta 91.93
_cell_angle_gamma 90.00
loop_
_atom_site_label
_atom_site_type_symbol
_atom_site_fract_x
_atom_site_fract_y
_atom_site_fract_z
_atom_site_occupancy
Ba1 Ba 0.241 0.091 0.270 1
U1 U 0.270 0.749 0.622 1
Te1 Te 0.000 0.238 0.636 1
Te2 Te 0.022 0.598 0.613 1
Te3 Te 0.167 0.550 0.119 1
Te4 Te 0.389 0.195 0.868 1
Te5 Te 0.390 0.606 0.377 1
Te6 Te 0.416 0.615 0.883 1


# BaU2Te5 (PBEsol, relaxed)
# M_tot	0.50	μB/atom
# ΔE_f (raw)	-0.87	eV/atom
data_BaU2Te5
_symmetry_space_group_name_H-M 'I 4/m c m'
_symmetry_Int_Tables_number 140
_symmetry_space_group_name_Hall '-I 4 2c'
_cell_length_a 8.119
_cell_length_b 8.119
_cell_length_c 14.757
_cell_angle_alpha 90.00
_cell_angle_beta 90.00
_cell_angle_gamma 90.00
loop_
_atom_site_label
_atom_site_type_symbol
_atom_site_fract_x
_atom_site_fract_y
_atom_site_fract_z
_atom_site_occupancy
Ba1 Ba 0.000 0.000 0.250 1
U1 U 0.147 0.353 0.000 1
Te1 Te 0.000 0.000 0.000 1
Te2 Te 0.151 0.349 0.364 1


The records above give, respectively, density of states at the Fermi level values of 1.378, 0.896, 1.504 states/eV/atom.